1.
A relaxed structure of PuCoNiSb. Source: Alexandria via LeMat-Bulk, functional PBE-GGA.

Cell and atoms, written as CIF:
```
data_PuCoNiSb
_symmetry_space_group_name_H-M 'F -4 3 m'
_symmetry_Int_Tables_number 216
_symmetry_space_group_name_Hall 'F -4 2 3'
_cell_length_a 6.4890
_cell_length_b 6.4890
_cell_length_c 6.4890
_cell_angle_alpha 90.00
_cell_angle_beta 90.00
_cell_angle_gamma 90.00
loop_
_atom_site_label
_atom_site_type_symbol
_atom_site_fract_x
_atom_site_fract_y
_atom_site_fract_z
Pu1 Pu 0.0000 0.0000 0.0000
Co1 Co 0.2500 0.2500 0.7500
Ni1 Ni 0.2500 0.2500 0.2500
Sb1 Sb 0.0000 0.0000 0.5000
```

Values from the calculation:
E_form (uncorrected) ... -0.75 eV per formula unit
VASP energy ... -128.4 eV for the cell shown

2.
A relaxed structure of PuScCoNi. Source: Alexandria via LeMat-Bulk, functional PBE-GGA.

Cell and atoms, written as CIF:
```
data_PuScCoNi
_symmetry_space_group_name_H-M 'F -4 3 m'
_symmetry_Int_Tables_number 216
_symmetry_space_group_name_Hall 'F -4 2 3'
_cell_length_a 6.4898
_cell_length_b 6.4898
_cell_length_c 6.4898
_cell_angle_alpha 90.00
_cell_angle_beta 90.00
_cell_angle_gamma 90.00
loop_
_atom_site_label
_atom_site_type_symbol
_atom_site_fract_x
_atom_site_fract_y
_atom_site_fract_z
Pu1 Pu 0.0000 0.0000 0.0000
Sc1 Sc 0.0000 0.0000 0.5000
Co1 Co 0.2500 0.2500 0.2500
Ni1 Ni 0.2500 0.2500 0.7500
```

Values from the calculation:
Formation enthalpy at 0 K ... -13.6 kJ per mole of atoms
VASP energy ... -136.5 eV for the cell shown

3.
A relaxed structure of PuCoNiSn3. Source: Alexandria via LeMat-Bulk, functional PBE-GGA.

Cell and atoms, written as CIF:
```
data_PuCoNiSn3
_symmetry_space_group_name_H-M 'C m c m'
_symmetry_Int_Tables_number 63
_symmetry_space_group_name_Hall '-C 2c 2'
_cell_length_a 6.4520
_cell_length_b 10.5078
_cell_length_c 7.8428
_cell_angle_alpha 90.00
_cell_angle_beta 90.00
_cell_angle_gamma 90.00
loop_
_atom_site_label
_atom_site_type_symbol
_atom_site_fract_x
_atom_site_fract_y
_atom_site_fract_z
Pu1 Pu 0.0000 0.2422 0.2500
Co1 Co 0.0000 0.0133 0.7500
Ni1 Ni 0.0000 0.4878 0.7500
Sn1 Sn 0.0000 0.2499 0.7500
Sn2 Sn 0.2494 0.0000 0.0000
```

Values from the calculation:
Formation enthalpy at 0 K ... 0.3 kJ per mole of atoms
VASP energy ... -156.8 eV for the cell shown

4.
A relaxed structure of PuCoNiSn. Source: Alexandria via LeMat-Bulk, functional PBE-GGA.

Cell and atoms, written as CIF:
```
data_PuCoNiSn
_symmetry_space_group_name_H-M 'F -4 3 m'
_symmetry_Int_Tables_number 216
_symmetry_space_group_name_Hall 'F -4 2 3'
_cell_length_a 6.5018
_cell_length_b 6.5018
_cell_length_c 6.5018
_cell_angle_alpha 90.00
_cell_angle_beta 90.00
_cell_angle_gamma 90.00
loop_
_atom_site_label
_atom_site_type_symbol
_atom_site_fract_x
_atom_site_fract_y
_atom_site_fract_z
Pu1 Pu 0.0000 0.0000 0.0000
Co1 Co 0.2500 0.2500 0.2500
Ni1 Ni 0.2500 0.2500 0.7500
Sn1 Sn 0.0000 0.0000 0.5000
```

Values from the calculation:
Formation enthalpy at 0 K ... -14.6 kJ per mole of atoms
VASP energy ... -127.3 eV for the cell shown

5.
A relaxed structure of PuUCoNi. Source: Alexandria via LeMat-Bulk, functional PBE-GGA.

Cell and atoms, written as CIF:
```
data_PuUCoNi
_symmetry_space_group_name_H-M 'F -4 3 m'
_symmetry_Int_Tables_number 216
_symmetry_space_group_name_Hall 'F -4 2 3'
_cell_length_a 6.2644
_cell_length_b 6.2644
_cell_length_c 6.2644
_cell_angle_alpha 90.00
_cell_angle_beta 90.00
_cell_angle_gamma 90.00
loop_
_atom_site_label
_atom_site_type_symbol
_atom_site_fract_x
_atom_site_fract_y
_atom_site_fract_z
Pu1 Pu 0.0000 0.0000 0.0000
U1 U 0.2500 0.2500 0.2500
Co1 Co 0.0000 0.0000 0.5000
Ni1 Ni 0.2500 0.2500 0.7500
```

Values from the calculation:
Formation enthalpy at 0 K ... -25.5 kJ per mole of atoms
VASP energy ... -158.3 eV for the cell shown

6.
A relaxed structure of PuZrCoNi. Source: Alexandria via LeMat-Bulk, functional PBE-GGA.

Cell and atoms, written as CIF:
```
data_PuZrCoNi
_symmetry_space_group_name_H-M 'F -4 3 m'
_symmetry_Int_Tables_number 216
_symmetry_space_group_name_Hall 'F -4 2 3'
_cell_length_a 6.5310
_cell_length_b 6.5310
_cell_length_c 6.5310
_cell_angle_alpha 90.00
_cell_angle_beta 90.00
_cell_angle_gamma 90.00
loop_
_atom_site_label
_atom_site_type_symbol
_atom_site_fract_x
_atom_site_fract_y
_atom_site_fract_z
Pu1 Pu 0.0000 0.0000 0.0000
Zr1 Zr 0.0000 0.0000 0.5000
Co1 Co 0.2500 0.2500 0.7500
Ni1 Ni 0.2500 0.2500 0.2500
```

Values from the calculation:
Formation enthalpy at 0 K ... -7.6 kJ per mole of atoms
VASP energy ... -144.3 eV for the cell shown

7.
A relaxed structure of RbCo2Ni. Source: Alexandria via LeMat-Bulk, functional PBE-GGA.

Cell and atoms, written as CIF:
```
data_RbCo2Ni
_symmetry_space_group_name_H-M 'I 41/a m d'
_symmetry_Int_Tables_number 141
_cell_length_a 4.8571
_cell_length_b 4.8571
_cell_length_c 15.8591
_cell_angle_alpha 90.00
_cell_angle_beta 90.00
_cell_angle_gamma 90.00
loop_
_symmetry_equiv_pos_as_xyz
'x,y,z'
'-x,-y,-z'
'-y+1/4,x+3/4,z+1/4'
'y+1/4,-x+3/4,-z+1/4'
'-x+1/2,-y,z+1/2'
'x+1/2,y,-z+1/2'
'y+1/4,-x+1/4,z+3/4'
'-y+1/4,x+1/4,-z+3/4'
'x,-y,-z'
'-x,y,z'
'-y+1/4,-x+1/4,-z+3/4'
'y+1/4,x+1/4,z+3/4'
'-x+1/2,y,-z+1/2'
'x+1/2,-y,z+1/2'
'y+1/4,x+3/4,-z+1/4'
'-y+1/4,-x+3/4,z+1/4'
'x+1/2,y+1/2,z+1/2'
'-x+1/2,-y+1/2,-z+1/2'
'-y+3/4,x+1/4,z+3/4'
'y+3/4,-x+1/4,-z+3/4'
'-x,-y+1/2,z'
'x,y+1/2,-z'
'y+3/4,-x+3/4,z+1/4'
'-y+3/4,x+3/4,-z+1/4'
'x+1/2,-y+1/2,-z+1/2'
'-x+1/2,y+1/2,z+1/2'
'-y+3/4,-x+3/4,-z+1/4'
'y+3/4,x+3/4,z+1/4'
'-x,y+1/2,-z'
'x,-y+1/2,z'
'y+3/4,x+1/4,-z+3/4'
'-y+3/4,-x+1/4,z+3/4'
loop_
_atom_site_label
_atom_site_type_symbol
_atom_site_fract_x
_atom_site_fract_y
_atom_site_fract_z
Rb1 Rb 0.0000 0.2500 0.3750
Co1 Co 0.0000 0.0000 0.0000
Ni1 Ni 0.0000 0.2500 0.8750
```

Values from the calculation:
Formation enthalpy at 0 K ... 97.5 kJ per mole of atoms
Excess energy over the best structure of this formula in the dataset ... 0.000 eV/atom
VASP energy ... -67.7 eV for the cell shown

8.
A relaxed structure of RbCoNi2. Source: Alexandria via LeMat-Bulk, functional PBE-GGA.

Cell and atoms, written as CIF:
```
data_RbCoNi2
_symmetry_space_group_name_H-M 'F m -3 m'
_symmetry_Int_Tables_number 225
_symmetry_space_group_name_Hall '-F 4 2 3'
_cell_length_a 6.4341
_cell_length_b 6.4341
_cell_length_c 6.4341
_cell_angle_alpha 90.00
_cell_angle_beta 90.00
_cell_angle_gamma 90.00
loop_
_atom_site_label
_atom_site_type_symbol
_atom_site_fract_x
_atom_site_fract_y
_atom_site_fract_z
Rb1 Rb 0.0000 0.0000 0.0000
Co1 Co 0.0000 0.0000 0.5000
Ni1 Ni 0.2500 0.2500 0.2500
```

Values from the calculation:
Formation enthalpy at 0 K ... 132.8 kJ per mole of atoms
Excess energy over the best structure of this formula in the dataset ... 0.506 eV/atom
VASP energy ... -56.5 eV for the cell shown